1.
An optimized crystal structure of YAsPbBr2. Source: Alexandria via LeMat-Bulk, functional PBE.

Its raw formation energy is -0.68 eV per atom. The total magnetization comes out at 0.00 μB/f.u.

The space group is P4/mmm (No. 123) and the conventional cell measures 5.426, 5.426 and 5.765 Å, with angles of 90.00, 90.00 and 90.00 degrees. Symmetry generates all atoms from Y at (0.000, 0.000, 0.000), As at (0.000, 0.000, 0.500), Pb at (0.500, 0.500, 0.500) and Br at (0.000, 0.500, 0.000).

***

2.
An optimized crystal structure of ScCu4Cl. Source: Alexandria via LeMat-Bulk, functional PBE.

Its raw formation energy is -0.01 eV per atom. The total magnetization comes out at 0.00 μB/f.u.

The space group is F-43m (No. 216) and the conventional cell measures 7.153, 7.153 and 7.153 Å, with angles of 90.00, 90.00 and 90.00 degrees. Symmetry generates all atoms from Sc at (0.000, 0.000, 0.000), Cu at (0.125, 0.125, 0.375) and Cl at (0.250, 0.250, 0.750).

***

3.
An optimized crystal structure of RbNiH3. Source: Alexandria via LeMat-Bulk, functional PBE.

As for the uncorrected energy: -1.71 eV per atom. The total magnetization comes out at 2.00 μB/f.u.

The space group is Pm-3m (No. 221) and the conventional cell measures 4.721, 4.721 and 4.721 Å, with angles of 90.00, 90.00 and 90.00 degrees. Symmetry generates all atoms from Rb at (0.000, 0.000, 0.000), Ni at (0.500, 0.500, 0.500) and H at (0.000, 0.000, 0.500).

***

4.
An optimized crystal structure of MgH3Rh. Source: Alexandria via LeMat-Bulk, functional PBE.

As for the uncorrected energy: -4.01 eV per atom. The total magnetization comes out at 0.00 μB/f.u.

The space group is P2_1/c (No. 14) and the conventional cell measures 5.089, 5.290 and 7.393 Å, with angles of 90.00, 106.29 and 90.00 degrees. Symmetry generates all atoms from Mg at (0.209, 0.118, 0.205), H at (0.068, 0.623, 0.880), H at (0.299, 0.088, 0.937), H at (0.410, 0.018, 0.598) and Rh at (0.377, 0.745, 0.465).

***

5.
An optimized crystal structure of RbMnPdI6. Source: Alexandria via LeMat-Bulk, functional PBE.

Its raw formation energy is -0.50 eV per atom. The total magnetization comes out at 5.78 μB/f.u.

The space group is C2 (No. 5) and the conventional cell measures 7.545, 12.475 and 8.278 Å, with angles of 90.00, 92.03 and 90.00 degrees. Symmetry generates all atoms from Rb at (0.000, 0.000, 0.000), Mn at (0.000, 0.330, 0.500), Pd at (0.000, 0.671, 0.500), I at (0.127, 0.510, 0.691), I at (0.184, 0.816, 0.688) and I at (0.192, 0.195, 0.713).

***

6.
An optimized crystal structure of HoBPt4. Source: Alexandria via LeMat-Bulk, functional PBE.

The formation energy comes out at -0.62 eV/atom. The total magnetization comes out at 0.00 μB/f.u.

The space group is Pmma (No. 51) and the conventional cell measures 7.402, 3.863 and 6.659 Å, with angles of 90.00, 90.00 and 90.00 degrees. Symmetry generates all atoms from Ho at (0.250, 0.000, 0.104), B at (0.250, 0.000, 0.682), Pt at (0.000, 0.000, 0.500), Pt at (0.065, 0.500, 0.804) and Pt at (0.250, 0.500, 0.436).

***

7.
An optimized crystal structure of Al2TeP. Source: Alexandria via LeMat-Bulk, functional PBE.

Its raw formation energy is 0.09 eV per atom. The total magnetization comes out at 0.00 μB/f.u.

The space group is Cmmm (No. 65) and the conventional cell measures 3.727, 6.254 and 7.384 Å, with angles of 90.00, 90.00 and 90.00 degrees. Symmetry generates all atoms from Al at (0.000, 0.000, 0.215), Te at (0.000, 0.500, 0.500) and P at (0.000, 0.500, 0.000).

***

8.
An optimized crystal structure of HfIrRh. Source: Alexandria via LeMat-Bulk, functional PBE.

The formation energy comes out at -0.80 eV/atom. The total magnetization comes out at 0.00 μB/f.u.

The space group is P6_3/mmc (No. 194) and the conventional cell measures 4.4934, 4.4934 and 5.5501 Å, with angles of 90.00, 90.00 and 120.00 degrees. Symmetry generates all atoms from Hf at (0.3333, 0.6667, 0.2500), Ir at (0.0000, 0.0000, 0.0000) and Rh at (0.3333, 0.6667, 0.7500).